Material: Ba4Pr7Si12BN27
Method: DFT, GGA-PBEsol
State: optimized geometry

**Space group**: P-6, No. 174
**DOS(E_F)**: 11.96 states/eV per cell
**Formation energy without anion corrections**: -1377 meV/atom

Lattice parameters (Å, degrees): 12.296 12.296 5.429 90.00 90.00 120.00
Sites, in units of the cell vectors:
Ba: 0.000 0.000 0.000
Ba: 0.178 0.416 0.000
Ba: 0.238 0.822 0.000
Ba: 0.584 0.762 0.000
Pr: 0.342 0.301 0.500
Pr: 0.447 0.086 0.500
Pr: 0.639 0.553 0.500
Pr: 0.667 0.333 0.000
Pr: 0.699 0.042 0.500
Pr: 0.914 0.361 0.500
Pr: 0.958 0.658 0.500
Si: 0.159 0.027 0.500
Si: 0.173 0.602 0.500
Si: 0.346 0.137 0.000
Si: 0.398 0.571 0.500
Si: 0.429 0.827 0.500
Si: 0.476 0.454 0.000
Si: 0.546 0.023 0.000
Si: 0.792 0.654 0.000
Si: 0.863 0.208 0.000
Si: 0.868 0.841 0.500
Si: 0.973 0.132 0.500
Si: 0.977 0.524 0.000
B: 0.667 0.333 0.500
N: 0.027 0.883 0.500
N: 0.069 0.562 0.257
N: 0.069 0.562 0.743
N: 0.117 0.144 0.500
N: 0.238 0.508 0.500
N: 0.259 0.057 0.254
N: 0.259 0.057 0.746
N: 0.270 0.762 0.500
N: 0.384 0.293 0.000
N: 0.438 0.507 0.257
N: 0.438 0.507 0.743
N: 0.482 0.123 0.000
N: 0.492 0.730 0.500
N: 0.493 0.931 0.257
N: 0.493 0.931 0.743
N: 0.540 0.316 0.500
N: 0.640 0.518 0.000
N: 0.684 0.224 0.500
N: 0.707 0.092 0.000
N: 0.776 0.460 0.500
N: 0.798 0.741 0.254
N: 0.798 0.741 0.746
N: 0.856 0.973 0.500
N: 0.877 0.360 0.000
N: 0.908 0.616 0.000
N: 0.943 0.202 0.254
N: 0.943 0.202 0.746